No. 1
A plane-wave DFT calculation with PBE was carried out for a geometry-optimized PrNp4S5 structure.

Cell lengths 8.820, 8.820, 5.589 Å; angles 90.00, 90.00, 90.00 degrees
Space group I4/m (No. 87)
Inequivalent atoms, fractional coordinates:
Pr (0.000, 0.000, 0.000) x2
Np (0.103, 0.299, 0.500) x8
S (0.000, 0.000, 0.500) x2
S (0.102, 0.310, 0.000) x8

Calculated values
The uncorrected formation energy is -143.6 kJ/mol of atoms. The calculation puts the density of states at the Fermi level at 27.4 states/eV/f.u.

No. 2
A plane-wave DFT calculation with PBE was carried out for a geometry-optimized FeCu2AuN structure.

Cell lengths 3.981, 3.981, 3.814 Å; angles 90.00, 90.00, 90.00 degrees
Space group P4/mmm (No. 123)
Inequivalent atoms, fractional coordinates:
Fe (0.000, 0.000, 0.000) x1
Cu (0.000, 0.500, 0.500) x2
Au (0.500, 0.500, 0.000) x1
N (0.000, 0.000, 0.500) x1

Calculated values
The uncorrected formation energy is 11.2 kJ/mol of atoms. The calculation puts the density of states at the Fermi level at 2.7 states/eV/f.u.